No. 1
Density functional theory data (PBE) for an optimized crystal structure of Eu2ScTl.

a = 4.1174 Å, b = 4.1174 Å, c = 7.3415 Å
α = 90.00°, β = 90.00°, γ = 90.00°
With the nearest neighbours (Å) after each atom.
Space group P4/mmm (No. 123)
Unique sites:
Eu: 0.0000 0.0000 0.2452 [2 per cell]  4 Tl 3.42, 4 Sc 3.46, 2 Eu 3.60-3.74
Sc: 0.5000 0.5000 0.5000 [1 per cell]  8 Eu 3.46, 2 Tl 3.67
Tl: 0.5000 0.5000 0.0000 [1 per cell]  8 Eu 3.42, 2 Sc 3.67

Calculated values
As for the size of the total moment: 14.5 μB per cell. The value obtained for the density of states at the Fermi level is 1.1793 states/eV/atom. For the electronic total energy, the calculation gives -7.38 eV/atom.

---

No. 2
Density functional theory data (PBE) for an optimized crystal structure of GaPbSeO5.

a = 7.4689 Å, b = 9.2564 Å, c = 7.4935 Å
α = 90.00°, β = 117.37°, γ = 90.00°
With the nearest neighbours (Å) after each atom.
Space group C2/c (No. 15)
Unique sites:
Ga: 0.0000 0.0000 0.0000 [4 per cell]  4 O 1.94-2.01
Pb: 0.0000 0.3093 0.2500 [4 per cell]  5 O 2.36-2.59
Se: 0.0000 0.2944 0.7500 [4 per cell]  2 O 1.71
O: 0.0000 0.0545 0.2500 [4 per cell]  2 Ga 1.94
O: 0.1101 0.2003 0.5893 [8 per cell]  1 Se 1.95, 1 Ga 2.01
O: 0.1845 0.4081 0.9103 [8 per cell]  1 Se 1.71

Calculated values
As for the size of the total moment: 3.7 μB per cell. The value obtained for the density of states at the Fermi level is 0.2211 states/eV/atom. For the electronic total energy, the calculation gives -5.39 eV/atom. The calculation puts the uncorrected formation energy at -1.009 eV per atom.

---

No. 3
Density functional theory data (PBE) for an optimized crystal structure of Na2PaPbI8.

a = 7.4182 Å, b = 9.4241 Å, c = 7.8531 Å
α = 90.00°, β = 94.46°, γ = 90.00°
With the nearest neighbours (Å) after each atom.
Space group P2/m (No. 10)
Unique sites:
Na: 0.0000 0.2398 0.0000 [2 per cell]  4 I 3.08-3.30
Pa: 0.5000 0.5000 0.5000 [1 per cell]  6 I 3.04-3.05
Pb: 0.5000 0.0000 0.5000 [1 per cell]  6 I 3.17-3.31
I: 0.2411 0.0000 0.1586 [2 per cell]  2 Na 3.08, 1 Pb 3.17
I: 0.2453 0.5000 0.1768 [2 per cell]  1 Pa 3.04, 2 Na 3.30
I: 0.2724 0.2689 0.6508 [4 per cell]  1 Pa 3.05, 1 Pb 3.31

Calculated values
As for the size of the total moment: 1.0 μB per cell. The value obtained for the density of states at the Fermi level is 0.0812 states/eV/atom. For the electronic total energy, the calculation gives -3.30 eV/atom. The calculation puts the uncorrected formation energy at -0.948 eV per atom.

---

No. 4
Density functional theory data (PBE) for an optimized crystal structure of TlSiAg.

a = 3.9964 Å, b = 6.1327 Å, c = 6.5415 Å
α = 65.05°, β = 72.33°, γ = 89.99°
With the nearest neighbours (Å) after each atom.
Space group P1 (No. 1)
Unique sites:
Tl: 0.0000 0.0000 0.0000 [1 per cell]  4 Ag 2.94-3.04, 2 Tl 3.14-3.15
Tl: 0.2871 0.7281 0.4254 [1 per cell]  4 Ag 2.94-3.04, 2 Tl 3.14-3.15
Si: 0.4543 0.4354 0.0908 [1 per cell]  2 Si 2.41-2.42, 2 Ag 2.59-2.65
Si: 0.8348 0.2959 0.3310 [1 per cell]  2 Si 2.41-2.42, 2 Ag 2.59-2.65
Ag: 0.6440 0.3640 0.7120 [1 per cell]  2 Si 2.59
Ag: 0.6444 0.8657 0.7111 [1 per cell]  2 Si 2.65

Calculated values
As for the size of the total moment: 0.0 μB per cell. The value obtained for the density of states at the Fermi level is 0.3280 states/eV/atom. For the electronic total energy, the calculation gives -3.32 eV/atom. The calculation puts the uncorrected formation energy at 0.226 eV per atom.

---

No. 5
Density functional theory data (PBE) for an optimized crystal structure of Cs2PrSnS4.

a = 6.9986 Å, b = 15.2547 Å, c = 25.5982 Å
α = 90.00°, β = 90.00°, γ = 90.00°
With the nearest neighbours (Å) after each atom.
Space group Fddd (No. 70, origin choice 2)
Unique sites:
Cs: 0.1250 0.1250 0.3082 [16 per cell]  6 S 3.80-4.15
Pr: 0.1250 0.1250 0.1250 [8 per cell]  4 S 2.70
Sn: 0.1250 0.1250 0.6250 [8 per cell]  4 S 2.58
S: 0.1122 0.2774 0.8243 [32 per cell]  1 Sn 2.58, 1 Pr 2.70

Calculated values
As for the size of the total moment: 0.0 μB per cell. The value obtained for the density of states at the Fermi level is 0.4407 states/eV/atom. For the electronic total energy, the calculation gives -4.44 eV/atom. The calculation puts the uncorrected formation energy at -1.067 eV per atom.

---

No. 6
Density functional theory data (PBE) for an optimized crystal structure of MnBeAs.

a = 2.9914 Å, b = 2.9914 Å, c = 7.3903 Å
α = 90.00°, β = 90.00°, γ = 90.00°
With the nearest neighbours (Å) after each atom.
Space group I4mm (No. 107)
Unique sites:
Mn: 0.0000 0.0000 0.0000 [2 per cell]  5 Be 2.43-2.51, 5 As 2.45-2.47
Be: 0.0000 0.0000 0.6605 [2 per cell]  5 As 2.42-2.47, 5 Mn 2.43-2.51
As: 0.0000 0.0000 0.3336 [2 per cell]  5 Be 2.42-2.47, 5 Mn 2.45-2.47

Calculated values
As for the size of the total moment: 0.0 μB per cell. The value obtained for the density of states at the Fermi level is 0.0190 states/eV/atom. For the electronic total energy, the calculation gives -5.98 eV/atom.